Crystalline Li7Mn2Co3O12 at its relaxed geometry. Source: Alexandria via LeMat-Bulk, functional GGA+U.

Excess energy over the best structure of this formula in the dataset in meV per atom: 44
Total magnetic moment in Bohr magnetons per cell: 10.07
Crystal system: triclinic
DOS at the Fermi energy in states/eV per atom: 0.01

Cell lengths 4.973, 4.992, 9.708 Å; angles 94.44, 94.14, 118.45 degrees
Space group P1 (No. 1)
Asymmetric unit:
Li1 0.000 0.000 0.000 [1 per cell]
Li2 0.050 0.385 0.241 [1 per cell]
Li3 0.130 0.795 0.487 [1 per cell]
Li4 0.304 0.638 0.997 [1 per cell]
Li5 0.430 0.433 0.484 [1 per cell]
Li6 0.646 0.307 0.995 [1 per cell]
Li7 0.798 0.129 0.485 [1 per cell]
Mn1 0.549 0.887 0.741 [1 per cell]
Mn2 0.887 0.548 0.741 [1 per cell]
Co1 0.218 0.218 0.742 [1 per cell]
Co2 0.392 0.054 0.241 [1 per cell]
Co3 0.711 0.712 0.241 [1 per cell]
O1 0.024 0.716 0.133 [1 per cell]
O2 0.079 0.052 0.349 [1 per cell]
O3 0.155 0.484 0.620 [1 per cell]
O4 0.279 0.951 0.860 [1 per cell]
O5 0.389 0.363 0.133 [1 per cell]
O6 0.450 0.775 0.352 [1 per cell]
O7 0.485 0.155 0.623 [1 per cell]
O8 0.577 0.578 0.848 [1 per cell]
O9 0.654 0.992 0.131 [1 per cell]
O10 0.713 0.404 0.351 [1 per cell]
O11 0.859 0.858 0.634 [1 per cell]
O12 0.951 0.281 0.863 [1 per cell]